# 1
VASP calculation (GGA-PBE) on a geometry-optimized YV2In2 structure.

Unit cell a=3.9136 b=3.9136 c=13.6262 alpha=90.00 beta=90.00 gamma=90.00
Space group I4/mmm (No. 139)
Unique sites:
Y: 0.0000 0.0000 0.0000 (multiplicity 2)
V: 0.0000 0.5000 0.2500 (multiplicity 4)
In: 0.0000 0.0000 0.3929 (multiplicity 4)

Calculated values
M_tot = 0.000 μB/atom
Crystal system = tetragonal
Energy above the lowest structure with this stoichiometry = 0 meV/atom
Uncorrected energy = -5.932 eV/atom
E_form = 0.104 eV/atom

---

# 2
VASP calculation (GGA-PBE) on a geometry-optimized YV2In2 structure.

Unit cell a=8.0859 b=8.0859 c=3.1311 alpha=90.00 beta=90.00 gamma=90.00
Space group P4/mbm (No. 127)
Unique sites:
Y: 0.0000 0.0000 0.0000 (multiplicity 2)
V: 0.0884 0.4116 0.0000 (multiplicity 4)
In: 0.1968 0.6968 0.5000 (multiplicity 4)

Calculated values
M_tot = 0.012 μB/atom
Crystal system = tetragonal
Energy above the lowest structure with this stoichiometry = 16 meV/atom
Uncorrected energy = -5.916 eV/atom
E_form = 0.120 eV/atom

---

# 3
VASP calculation (GGA-PBE) on a geometry-optimized YV2In structure.

Unit cell a=7.7728 b=7.7728 c=5.9792 alpha=90.00 beta=90.00 gamma=90.00
Space group I-42d (No. 122)
Unique sites:
Y: 0.0000 0.0000 0.0000 (multiplicity 4)
V: 0.2277 0.2500 0.6250 (multiplicity 8)
In: 0.0000 0.0000 0.5000 (multiplicity 4)

Calculated values
M_tot = 1.257 μB/atom
Crystal system = tetragonal
Uncorrected energy = -6.075 eV/atom
E_form = 0.785 eV/atom

---

# 4
VASP calculation (GGA-PBE) on a geometry-optimized V3ZnIn structure.

Unit cell a=5.0944 b=5.0944 c=5.0944 alpha=90.00 beta=90.00 gamma=90.00
Space group Pm-3m (No. 221)
Unique sites:
V: 0.0000 0.0000 0.5000 (multiplicity 3)
Zn: 0.5000 0.5000 0.5000 (multiplicity 1)
In: 0.0000 0.0000 0.0000 (multiplicity 1)

Calculated values
M_tot = 1.986 μB/atom
Crystal system = cubic
Energy above the lowest structure with this stoichiometry = 689 meV/atom
Uncorrected energy = -4.567 eV/atom
E_form = 1.707 eV/atom